## KHgAuS2 (GGA-PBE)

Data for a geometry-optimized KHgAuS2 structure.

Computed properties:
magnetic moment: 0.000 μB per formula unit
crystal system: monoclinic
E_form (uncorrected): -0.50 eV per atom

Structure (CIF):
```
data_KHgAuS2
_symmetry_space_group_name_H-M 'P 1 2/c 1'
_symmetry_Int_Tables_number 13
_symmetry_space_group_name_Hall '-P 2yc'
_cell_length_a 6.752
_cell_length_b 5.750
_cell_length_c 7.459
_cell_angle_alpha 90.00
_cell_angle_beta 104.69
_cell_angle_gamma 90.00
loop_
_atom_site_label
_atom_site_fract_x
_atom_site_fract_y
_atom_site_fract_z
K1 0.000 0.202 0.250
Hg1 0.500 0.494 0.750
Au1 0.500 0.000 0.000
S1 0.265 0.303 0.951
```